No. 1
VASP calculation (PBE) on crystalline PaGaSnBi at its relaxed geometry.

abc: 4.5526 4.6187 4.6850
angles: 90.00 90.00 90.00
Closest atoms and distances in Å follow each position.
Fractional positions:
Pa1 0.0000 0.0000 0.0000  4 Bi 3.24, 4 Sn 3.27, 4 Ga 3.29
Ga1 0.0000 0.5000 0.5000  4 Sn 3.24, 4 Bi 3.27, 4 Pa 3.29
Sn1 0.5000 0.0000 0.5000  4 Ga 3.24, 4 Pa 3.27, 4 Bi 3.29
Bi1 0.5000 0.5000 0.0000  4 Pa 3.24, 4 Ga 3.27, 4 Sn 3.29

## Properties
DFT formation energy   -234 meV/atom
Spin magnetization   0.0 μB/f.u.

No. 2
VASP calculation (PBE) on crystalline Nb2InCu at its relaxed geometry.

abc: 7.4354 7.4354 5.4261
angles: 90.00 90.00 90.00
Closest atoms and distances in Å follow each position.
Fractional positions:
Nb1 0.2268 0.2500 0.1250  2 Cu 2.60, 2 Nb 2.73, 2 In 2.84
Nb2 0.2500 0.7268 0.3750  2 Cu 2.60, 2 Nb 2.73, 2 In 2.84
Nb3 0.2500 0.7732 0.8750  2 Cu 2.60, 2 Nb 2.73, 2 In 2.84
Nb4 0.2732 0.2500 0.6250  2 Cu 2.60, 2 Nb 2.73, 2 In 2.84
Nb5 0.7268 0.7500 0.6250  2 Cu 2.60, 2 Nb 2.73, 2 In 2.84
Nb6 0.7500 0.2268 0.8750  2 Cu 2.60, 2 Nb 2.73, 2 In 2.84
Nb7 0.7500 0.2732 0.3750  2 Cu 2.60, 2 Nb 2.73, 2 In 2.84
Nb8 0.7732 0.7500 0.1250  2 Cu 2.60, 2 Nb 2.73, 2 In 2.84
In1 0.0000 0.0000 0.5000  2 Cu 2.71, 4 Nb 2.84
In2 0.0000 0.5000 0.7500  2 Cu 2.71, 4 Nb 2.84
In3 0.5000 0.0000 0.2500  2 Cu 2.71, 4 Nb 2.84
In4 0.5000 0.5000 0.0000  2 Cu 2.71, 4 Nb 2.84
Cu1 0.0000 0.0000 0.0000  4 Nb 2.60, 2 In 2.71
Cu2 0.0000 0.5000 0.2500  4 Nb 2.60, 2 In 2.71
Cu3 0.5000 0.0000 0.7500  4 Nb 2.60, 2 In 2.71
Cu4 0.5000 0.5000 0.5000  4 Nb 2.60, 2 In 2.71

## Properties
DFT formation energy   461 meV/atom
Spin magnetization   0.0 μB/f.u.

No. 3
VASP calculation (PBE) on crystalline AcNi3Rh at its relaxed geometry.

abc: 6.5521 6.5521 5.0978
angles: 90.00 90.00 129.44
Closest atoms and distances in Å follow each position.
Fractional positions:
Ac1 0.1105 0.8895 0.7500  8 Ni 2.95-3.05
Ac2 0.8895 0.1105 0.2500  8 Ni 2.95-3.05
Ni1 0.1260 0.4390 0.7500  2 Ni 2.41-2.43, 2 Rh 2.56
Ni2 0.3105 0.6895 0.2500  2 Ni 2.41, 2 Rh 2.58
Ni3 0.4390 0.1260 0.2500  2 Ni 2.41-2.43, 2 Rh 2.56
Ni4 0.5610 0.8740 0.7500  2 Ni 2.41-2.43, 2 Rh 2.56
Ni5 0.6895 0.3105 0.7500  2 Ni 2.41, 2 Rh 2.58
Ni6 0.8740 0.5610 0.2500  2 Ni 2.41-2.43, 2 Rh 2.56
Rh1 0.5000 0.5000 0.0000  2 Rh 2.55, 6 Ni 2.56-2.58
Rh2 0.5000 0.5000 0.5000  2 Rh 2.55, 6 Ni 2.56-2.58

## Properties
DFT formation energy   -134 meV/atom
Spin magnetization   0.4 μB/f.u.

No. 4
VASP calculation (PBE) on crystalline CuTe2Au2 at its relaxed geometry.

abc: 7.5071 7.5071 4.1397
angles: 90.00 90.00 90.00
Closest atoms and distances in Å follow each position.
Fractional positions:
Cu1 0.0000 0.0000 0.0000  4 Te 2.72
Cu2 0.5000 0.5000 0.0000  4 Te 2.72
Te1 0.1926 0.3074 0.0000  2 Cu 2.72, 2 Au 2.81
Te2 0.3074 0.8074 0.0000  2 Cu 2.72, 2 Au 2.81
Te3 0.6926 0.1926 0.0000  2 Cu 2.72, 2 Au 2.81
Te4 0.8074 0.6926 0.0000  2 Cu 2.72, 2 Au 2.81
Au1 0.1287 0.6287 0.5000  1 Au 2.73, 2 Te 2.81
Au2 0.3713 0.1287 0.5000  1 Au 2.73, 2 Te 2.81
Au3 0.6287 0.8713 0.5000  1 Au 2.73, 2 Te 2.81
Au4 0.8713 0.3713 0.5000  1 Au 2.73, 2 Te 2.81

## Properties
Spin magnetization   0.0 μB/f.u.
E_tot   -31.97 eV per cell